This record from Alexandria via LeMat-Bulk describes CeCu4Sn after structural relaxation. The functional is PBE-GGA.

For the offset from the most stable computed form, the calculation gives 4.2 kJ/mol of atoms. The formation enthalpy at 0 K is -53.7 kJ/mol of formula units. The density of states at the Fermi level is 29.8 states/eV/cell.

It has space group P2_12_12_1 (No. 19), with a = 6.413 Å, b = 7.538 Å, c = 8.742 Å, α = 90.00°, β = 90.00° and γ = 90.00°. The distinct sites, in fractional coordinates, are Ce at (0.111, 0.144, 0.258), Cu at (0.079, 0.582, 0.878), Cu at (0.110, 0.854, 0.484), Cu at (0.136, 0.257, 0.806), Cu at (0.206, 0.843, 0.059) and Sn at (0.126, 0.499, 0.574).



This record from Alexandria via LeMat-Bulk describes CeTmCuSn after structural relaxation. The functional is PBE-GGA.

The formation enthalpy at 0 K is -128.3 kJ/mol of formula units. The density of states at the Fermi level is 39.3 states/eV/cell.

It has space group F-43m (No. 216), with a = 7.333 Å, b = 7.333 Å, c = 7.333 Å, α = 90.00°, β = 90.00° and γ = 90.00°. The distinct sites, in fractional coordinates, are Ce at (0.000, 0.000, 0.000), Tm at (0.000, 0.000, 0.500), Cu at (0.250, 0.250, 0.250) and Sn at (0.250, 0.250, 0.750).



This record from Alexandria via LeMat-Bulk describes CeZnCuSn after structural relaxation. The functional is PBE-GGA.

The formation enthalpy at 0 K is -120.0 kJ/mol of formula units. The density of states at the Fermi level is 18.7 states/eV/cell.

It has space group F-43m (No. 216), with a = 6.857 Å, b = 6.857 Å, c = 6.857 Å, α = 90.00°, β = 90.00° and γ = 90.00°. The distinct sites, in fractional coordinates, are Ce at (0.000, 0.000, 0.000), Zn at (0.250, 0.250, 0.250), Cu at (0.250, 0.250, 0.750) and Sn at (0.000, 0.000, 0.500).



Which of these has the lowest density of states at the Fermi level?
CeZnCuSn